Record 1
! PBE CsInHgAs, optimized geometry; values from VASP
! Volume, Å³ per atom: 38.456
! M_tot, μB per formula unit: 0.00
! Calculated formation energy, meV per atom: -289
! Crystal system: tetragonal
&SYSTEM
  ibrav = 0, nat = 8, ntyp = 4
/
ATOMIC_SPECIES
Cs 132.91 Cs.upf
In 114.82 In.upf
Hg 200.59 Hg.upf
As 74.92 As.upf
CELL_PARAMETERS angstrom
4.889 0.000 0.000
0.000 4.889 0.000
0.000 0.000 12.870
ATOMIC_POSITIONS angstrom
Cs 3.667 3.667 3.292
Cs 1.222 1.222 9.578
In 3.667 1.222 0.000
In 1.222 3.667 0.000
Hg 1.222 3.667 6.435
Hg 3.667 1.222 6.435
As 3.667 3.667 11.410
As 1.222 1.222 1.460

Record 2
! PBE CsKHg2As, optimized geometry; values from VASP
! Volume, Å³ per atom: 37.673
! M_tot, μB per formula unit: 0.00
! Calculated formation energy, meV per atom: -271
! Crystal system: orthorhombic
&SYSTEM
  ibrav = 0, nat = 5, ntyp = 4
/
ATOMIC_SPECIES
Cs 132.91 Cs.upf
K 39.10 K.upf
Hg 200.59 Hg.upf
As 74.92 As.upf
CELL_PARAMETERS angstrom
-0.595 5.589 0.509
-4.038 -0.192 -2.609
-1.383 -3.620 6.845
ATOMIC_POSITIONS angstrom
Cs -3.313 -0.825 5.189
K -3.496 -0.464 1.008
Hg -1.910 2.393 2.780
Hg -0.177 -0.044 0.278
As -4.707 2.103 2.695

Record 3
! PBE Cs2KHgAs2, optimized geometry; values from VASP
! Volume, Å³ per atom: 39.150
! M_tot, μB per formula unit: 0.00
! Calculated formation energy, meV per atom: -277
! Crystal system: orthorhombic
&SYSTEM
  ibrav = 0, nat = 12, ntyp = 4
/
ATOMIC_SPECIES
Cs 132.91 Cs.upf
K 39.10 K.upf
Hg 200.59 Hg.upf
As 74.92 As.upf
CELL_PARAMETERS angstrom
-5.626 -5.120 -2.091
5.272 -5.216 -1.413
-0.309 2.655 9.214
ATOMIC_POSITIONS angstrom
Cs -1.703 -2.267 2.013
Cs 1.039 -5.414 3.697
Cs 0.960 -0.479 5.353
Cs -1.624 -7.201 0.357
K 3.954 -3.912 -1.059
K 1.318 -1.304 -0.353
Hg 1.141 -6.472 -2.105
Hg -1.495 -3.864 -1.399
As -3.995 -3.995 -0.157
As 0.836 -4.605 -0.048
As -1.499 -3.075 5.758
As 3.331 -3.686 5.867

Record 4
! PBE CsLi2HgAs, optimized geometry; values from VASP
! Volume, Å³ per atom: 30.580
! M_tot, μB per formula unit: 0.00
! Calculated formation energy, meV per atom: -292
! Crystal system: tetragonal
&SYSTEM
  ibrav = 0, nat = 5, ntyp = 4
/
ATOMIC_SPECIES
Cs 132.91 Cs.upf
As 74.92 As.upf
Hg 200.59 Hg.upf
Li 6.94 Li.upf
CELL_PARAMETERS angstrom
-1.780 4.619 1.289
-2.431 0.316 -4.489
-4.723 -2.485 2.383
ATOMIC_POSITIONS angstrom
Cs -4.467 1.225 -0.408
As 0.000 0.000 0.000
Hg -2.362 -1.242 1.192
Li -1.216 0.158 -2.244
Li -0.890 2.309 0.644

Record 5
! PBE Cs2LiHgAs2, optimized geometry; values from VASP
! Volume, Å³ per atom: 32.777
! M_tot, μB per formula unit: 0.00
! Calculated formation energy, meV per atom: -348
! Crystal system: orthorhombic
&SYSTEM
  ibrav = 0, nat = 12, ntyp = 4
/
ATOMIC_SPECIES
Cs 132.91 Cs.upf
Li 6.94 Li.upf
Hg 200.59 Hg.upf
As 74.92 As.upf
CELL_PARAMETERS angstrom
-3.828 2.539 4.854
-4.560 -5.076 -0.941
8.324 -3.508 3.800
ATOMIC_POSITIONS angstrom
Cs 0.443 -0.978 3.133
Cs -0.507 -5.067 4.580
Cs 3.711 -3.814 2.593
Cs -3.775 -2.231 5.120
Li -3.420 -3.807 -0.706
Li -1.140 -1.269 -0.235
Hg -5.334 -2.538 1.721
Hg -3.054 0.001 2.192
As -2.180 1.106 4.599
As -2.549 -2.700 1.706
As 2.485 -3.345 6.006
As 2.116 -7.151 3.113

Record 6
! PBE Cs2LiHgAs, optimized geometry; values from VASP
! Volume, Å³ per atom: 42.328
! M_tot, μB per formula unit: 0.00
! Calculated formation energy, meV per atom: -275
! Distance to the lowest polymorph of the same formula, eV/atom: 0.0000
! Crystal system: tetragonal
&SYSTEM
  ibrav = 0, nat = 5, ntyp = 4
/
ATOMIC_SPECIES
Cs 132.91 Cs.upf
As 74.92 As.upf
Hg 200.59 Hg.upf
Li 6.94 Li.upf
CELL_PARAMETERS angstrom
6.718 0.000 0.000
0.000 6.718 0.000
0.000 0.000 4.690
ATOMIC_POSITIONS angstrom
Cs 0.000 3.359 0.000
Cs 3.359 0.000 0.000
As 0.000 0.000 2.345
Hg 3.359 3.359 2.345
Li 0.000 0.000 0.000

Record 7
! PBE Cs2MgHgAs, optimized geometry; values from VASP
! Volume, Å³ per atom: 53.653
! M_tot, μB per formula unit: 0.00
! Calculated formation energy, meV per atom: -220
! Crystal system: tetragonal
&SYSTEM
  ibrav = 0, nat = 5, ntyp = 4
/
ATOMIC_SPECIES
Cs 132.91 Cs.upf
As 74.92 As.upf
Mg 24.30 Mg.upf
Hg 200.59 Hg.upf
CELL_PARAMETERS angstrom
7.320 0.000 0.000
0.000 7.320 0.000
0.000 0.000 5.006
ATOMIC_POSITIONS angstrom
Cs 0.000 3.660 0.000
Cs 3.660 0.000 0.000
As 0.000 0.000 0.000
Mg 0.000 0.000 2.503
Hg 3.660 3.660 2.503

Record 8
! PBE CsHgMo2As, optimized geometry; values from VASP
! Volume, Å³ per atom: 29.175
! M_tot, μB per formula unit: 3.99
! Calculated formation energy, meV per atom: 2865
! Crystal system: tetragonal
&SYSTEM
  ibrav = 0, nat = 5, ntyp = 4
/
ATOMIC_SPECIES
Cs 132.91 Cs.upf
As 74.92 As.upf
Mo 95.94 Mo.upf
Hg 200.59 Hg.upf
CELL_PARAMETERS angstrom
-2.710 -1.817 -3.955
-2.367 -3.744 3.343
-3.763 3.319 1.053
ATOMIC_POSITIONS angstrom
Cs 0.000 0.000 0.000
As -1.184 -1.872 1.671
Mo -1.881 1.660 0.527
Mo -1.355 -0.909 -1.977
Hg -4.420 -1.121 0.221